Sr2TcPW | PBE | relaxed

energy	-5.2573	eV/atom
SG	P4/mmm
Fermi-level density of states	6.32	states/eV per cell
DFT formation energy	112	kJ per mole of atoms

Cell: 5.957 5.957 4.522 Å, 90.00 90.00 90.00°
Positions (direct):
Sr  0.000  0.500  0.000
Sr  0.500  0.000  0.000
Tc  0.000  0.000  0.500
P  0.500  0.500  0.500
W  0.000  0.000  0.000